[1]
The following is a DFT calculation (GGA-PBE) of a relaxed structure of LaNdCu.

Unit cell a=5.021 b=5.021 c=5.021 alpha=60.00 beta=60.00 gamma=60.00
Positions (direct):
Cu 0.000 0.000 0.000
La 0.250 0.250 0.250
Nd 0.750 0.750 0.750

Computed properties:
As for the energy: -4.357 eV per atom. The calculation puts the calculated volume at 89.5 Å³ per cell. The formation enthalpy at 0 K comes out at 111 meV/atom. The calculation puts the distance to the lowest polymorph of the same formula at 0.000 eV per atom. The symmetry is F-43m (216). The magnetic moment is 0.351 μB per atom.

[2]
The following is a DFT calculation (GGA-PBE) of a relaxed structure of LaNd3Cu4.

Unit cell a=5.595 b=4.549 c=7.327 alpha=90.00 beta=90.48 gamma=90.00
Positions (direct):
Cu 0.117 0.500 0.038
Cu 0.623 0.000 0.464
Cu 0.379 0.500 0.529
Cu 0.880 0.000 0.968
La 0.373 0.000 0.820
Nd 0.629 0.500 0.182
Nd 0.128 0.000 0.321
Nd 0.872 0.500 0.678

Computed properties:
As for the energy: -4.440 eV per atom. The calculation puts the calculated volume at 186.5 Å³ per cell. The formation enthalpy at 0 K comes out at -180 meV/atom. The symmetry is Pm (6). The magnetic moment is 0.000 μB per atom.

[3]
The following is a DFT calculation (GGA-PBE) of a relaxed structure of La3NdCu4.

Unit cell a=5.692 b=4.596 c=7.417 alpha=90.00 beta=90.34 gamma=90.00
Positions (direct):
Cu 0.879 0.500 0.035
Cu 0.379 0.000 0.463
Cu 0.619 0.500 0.531
Cu 0.124 0.000 0.970
La 0.869 0.000 0.318
La 0.131 0.500 0.681
La 0.630 0.000 0.822
Nd 0.369 0.500 0.180

Computed properties:
As for the energy: -4.482 eV per atom. The calculation puts the calculated volume at 194.0 Å³ per cell. The formation enthalpy at 0 K comes out at -182 meV/atom. The symmetry is Pm (6). The magnetic moment is 0.000 μB per atom.

[4]
The following is a DFT calculation (GGA-PBE) of a relaxed structure of LaNdCu2.

Unit cell a=5.641 b=4.598 c=7.393 alpha=90.00 beta=90.68 gamma=90.00
Positions (direct):
Cu 0.616 0.250 0.036
Cu 0.123 0.750 0.469
Cu 0.877 0.250 0.531
Cu 0.384 0.750 0.964
La 0.131 0.250 0.182
La 0.869 0.750 0.818
Nd 0.629 0.750 0.323
Nd 0.371 0.250 0.677

Computed properties:
As for the energy: -4.463 eV per atom. The calculation puts the calculated volume at 191.7 Å³ per cell. The formation enthalpy at 0 K comes out at -183 meV/atom. The calculation puts the distance to the lowest polymorph of the same formula at 0.000 eV per atom. The symmetry is P2_1/m (11). The magnetic moment is 0.001 μB per atom.

The highest energy belongs to which entry?
LaNdCu

magnetic moment of number 2 (LaNd3Cu4)?
0.000 μB per atom

magnetic moment of number 3 (La3NdCu4)?
0.000 μB per atom

Look up the energy of the third one.
-4.482 eV per atom